# 1
The following is a DFT calculation (PBE) of a geometry-optimized Na2BTe structure.

- E above lowest polymorph (eV per atom) = 0.000
- ΔE_f (raw) (eV/atom) = 0.52
- final energy (hartree per atom) = -0.0955
- symmetry = Fm-3m
- crystal system = cubic

```
Na2BTe
1.0
0.000 3.590 3.590
3.590 0.000 3.590
3.590 3.590 0.000
Na B Te
2 1 1
Direct
0.250 0.250 0.250 Na
0.750 0.750 0.750 Na
0.000 0.000 0.000 B
0.500 0.500 0.500 Te
```

# 2
The following is a DFT calculation (PBE) of a geometry-optimized NaB3Te structure.

- E above lowest polymorph (eV per atom) = 0.000
- ΔE_f (raw) (eV/atom) = 2.00
- final energy (hartree per atom) = -0.1066
- symmetry = Pm-3m
- crystal system = cubic

```
NaB3Te
1.0
4.579 0.000 0.000
0.000 4.579 0.000
0.000 0.000 4.579
Na B Te
1 3 1
Direct
0.000 0.000 0.000 Na
0.000 0.500 0.500 B
0.500 0.000 0.500 B
0.500 0.500 0.000 B
0.500 0.500 0.500 Te
```

# 3
The following is a DFT calculation (PBE) of a geometry-optimized Na2BTe structure.

- E above lowest polymorph (eV per atom) = 0.124
- ΔE_f (raw) (eV/atom) = 0.64
- final energy (hartree per atom) = -0.0909
- symmetry = I-42d
- crystal system = tetragonal

```
Na2BTe
1.0
-2.301 2.301 9.537
2.301 -2.301 9.537
2.301 2.301 -9.537
Na B Te
4 2 2
Direct
0.089 0.625 0.964 Na
0.375 0.339 0.464 Na
0.661 0.125 0.036 Na
0.875 0.911 0.536 Na
0.000 0.000 0.000 B
0.750 0.250 0.500 B
0.250 0.750 0.500 Te
0.500 0.500 0.000 Te
```